[1]
Compound: Rb2TbPaO6
Source: Alexandria via LeMat-Bulk
Functional: PBE-GGA
Structure: relaxed

N(E_F)	0.771	states/eV/atom
magnetization	2.042	μB per formula unit
raw formation energy	-2538	meV/atom
mass density	6.23	Mg/m³

extended XYZ file:
```
10
Lattice="0.000 4.441 4.441 4.441 0.000 4.441 4.441 4.441 0.000" Properties=species:S:1:pos:R:3 pbc="T T T"
Rb 2.220 2.220 2.220
Rb 6.661 6.661 6.661
Tb 0.000 0.000 0.000
Pa 4.441 4.441 4.441
O 4.441 4.441 2.289
O 4.441 2.289 4.441
O 6.593 4.441 4.441
O 2.289 4.441 4.441
O 4.441 6.593 4.441
O 4.441 4.441 6.593
```

=====

[2]
Compound: Rb4TbPa3O12
Source: Alexandria via LeMat-Bulk
Functional: PBE-GGA
Structure: relaxed

N(E_F)	1.050	states/eV/atom
magnetization	0.020	μB per formula unit
raw formation energy	-2834	meV/atom
mass density	6.65	Mg/m³

extended XYZ file:
```
20
Lattice="-4.423 4.423 4.423 4.423 -4.423 4.423 4.423 4.423 -4.423" Properties=species:S:1:pos:R:3 pbc="T T T"
Rb 2.212 2.212 -2.212
Rb 2.212 -2.212 2.212
Rb -2.212 2.212 2.212
Rb 2.212 2.212 2.212
Tb 0.000 0.000 0.000
Pa 4.423 0.000 0.000
Pa 0.000 4.423 0.000
Pa 0.000 0.000 4.423
O 2.318 0.000 0.000
O 6.529 0.000 0.000
O 4.423 2.212 0.000
O 4.423 0.000 2.212
O 0.000 2.318 0.000
O 0.000 0.000 2.318
O 2.212 4.423 0.000
O 2.212 0.000 4.423
O 0.000 6.529 0.000
O 0.000 0.000 6.529
O 0.000 4.423 2.212
O 0.000 2.212 4.423
```

=====

[3]
Compound: Rb2Pa3TcO12
Source: Alexandria via LeMat-Bulk
Functional: PBE-GGA
Structure: relaxed

magnetization	0.000	μB per formula unit
raw formation energy	-2703	meV/atom
mass density	5.44	Mg/m³

extended XYZ file:
```
18
Lattice="4.002 2.310 6.354 -4.002 2.310 6.354 0.000 -4.621 6.354" Properties=species:S:1:pos:R:3 pbc="T T T"
Rb 0.000 0.000 2.128
Rb 0.000 0.000 16.934
Pa -2.001 -1.155 6.354
Pa -2.001 1.155 12.708
Pa 0.000 2.310 6.354
Tc 0.000 0.000 9.531
O 0.000 -1.796 5.864
O -1.555 0.898 5.864
O -1.349 -0.779 8.454
O -1.555 -0.898 13.197
O 0.000 -1.558 10.608
O -1.349 0.779 10.608
O 1.349 -0.779 8.454
O 0.000 1.558 8.454
O 1.555 0.898 5.864
O 1.349 0.779 10.608
O 1.555 -0.898 13.197
O 0.000 1.796 13.197
```

=====

[4]
Compound: RbPaTc2O8
Source: Alexandria via LeMat-Bulk
Functional: PBE-GGA
Structure: relaxed

N(E_F)	0.076	states/eV/atom
magnetization	4.042	μB per formula unit
raw formation energy	-1992	meV/atom
mass density	4.26	Mg/m³

extended XYZ file:
```
12
Lattice="5.991 0.000 0.000 -2.995 5.188 0.000 0.000 0.000 8.038" Properties=species:S:1:pos:R:3 pbc="T T T"
Rb 0.000 0.000 0.000
Pa 0.000 0.000 4.019
Tc 0.000 3.459 6.066
Tc 2.995 1.729 1.972
O 0.000 1.735 5.343
O -1.493 4.321 5.343
O 0.000 3.459 7.807
O 1.502 0.867 2.695
O 1.493 4.321 5.343
O 2.995 1.729 0.232
O 4.488 0.867 2.695
O 2.995 3.453 2.695
```

=====

[5]
Compound: Rb2PaTe2O2
Source: Alexandria via LeMat-Bulk
Functional: PBE-GGA
Structure: relaxed

N(E_F)	0.914	states/eV/atom
magnetization	0.000	μB per formula unit
raw formation energy	-1682	meV/atom
mass density	6.14	Mg/m³

extended XYZ file:
```
14
Lattice="4.551 0.000 0.000 0.000 4.551 0.000 0.000 0.000 18.001" Properties=species:S:1:pos:R:3 pbc="T T T"
Rb 0.000 0.000 2.161
Rb 0.000 0.000 15.840
Rb 2.275 2.275 6.840
Rb 2.275 2.275 11.162
Pa 0.000 0.000 9.001
Pa 2.275 2.275 0.000
Te 0.000 0.000 5.863
Te 0.000 0.000 12.138
Te 2.275 2.275 3.137
Te 2.275 2.275 14.864
O 0.000 2.275 0.000
O 0.000 2.275 9.001
O 2.275 0.000 0.000
O 2.275 0.000 9.001
```

=====

[6]
Compound: RbPaTeO5
Source: Alexandria via LeMat-Bulk
Functional: PBE-GGA
Structure: relaxed

N(E_F)	0.000	states/eV/atom
magnetization	0.000	μB per formula unit
raw formation energy	-2239	meV/atom
mass density	5.56	Mg/m³

extended XYZ file:
```
16
Lattice="4.083 -5.024 0.000 4.083 5.024 0.000 -3.892 0.000 7.637" Properties=species:S:1:pos:R:3 pbc="T T T"
Rb 1.165 4.253 5.727
Rb 3.110 -4.253 1.909
Pa 2.042 2.512 0.000
Pa 0.096 -2.512 3.818
Te 1.165 0.379 5.727
Te 3.110 -0.379 1.909
O 1.631 0.505 0.503
O 3.110 2.677 1.909
O 0.116 1.675 6.681
O -0.315 -0.505 4.321
O 2.213 1.675 4.774
O 2.062 -1.675 2.862
O 4.590 0.505 3.316
O 4.159 -1.675 0.956
O 1.165 -2.677 5.727
O 2.644 -0.505 7.134
```

=====

[7]
Compound: Rb2PaTe3O12
Source: Alexandria via LeMat-Bulk
Functional: PBE-GGA
Structure: relaxed

N(E_F)	0.066	states/eV/atom
magnetization	0.000	μB per formula unit
raw formation energy	-1683	meV/atom
mass density	5.28	Mg/m³

extended XYZ file:
```
18
Lattice="3.721 2.148 6.406 -3.721 2.148 6.406 0.000 -4.297 6.406" Properties=species:S:1:pos:R:3 pbc="T T T"
Rb 0.000 0.000 2.205
Rb 0.000 0.000 17.013
Pa 0.000 0.000 9.609
Te -1.861 -1.074 6.406
Te -1.861 1.074 12.812
Te 0.000 2.148 6.406
O -1.521 -0.878 8.333
O 0.000 -1.698 6.063
O -1.471 0.849 6.063
O -1.471 -0.849 13.155
O 0.000 -1.757 10.885
O -1.521 0.878 10.885
O 1.521 -0.878 8.333
O 0.000 1.756 8.333
O 1.471 0.849 6.063
O 1.471 -0.849 13.155
O 0.000 1.698 13.155
O 1.521 0.878 10.885
```

=====

[8]
Compound: Rb2PaTeO2
Source: Alexandria via LeMat-Bulk
Functional: PBE-GGA
Structure: relaxed

N(E_F)	0.452	states/eV/atom
magnetization	1.005	μB per formula unit
raw formation energy	-1942	meV/atom
mass density	6.33	Mg/m³

extended XYZ file:
```
6
Lattice="4.570 0.000 0.000 0.000 4.570 0.000 0.000 0.000 7.053" Properties=species:S:1:pos:R:3 pbc="T T T"
Rb 0.000 0.000 1.612
Rb 0.000 0.000 5.441
Pa 2.285 2.285 3.526
Te 2.285 2.285 0.000
O 0.000 2.285 3.526
O 2.285 0.000 3.526
```

=====

[9]
Compound: Rb2PaTeO8
Source: Alexandria via LeMat-Bulk
Functional: PBE-GGA
Structure: relaxed

N(E_F)	0.555	states/eV/atom
magnetization	1.000	μB per formula unit
raw formation energy	-1650	meV/atom
mass density	5.10	Mg/m³

extended XYZ file:
```
12
Lattice="4.877 0.000 0.000 0.000 6.987 0.000 -0.441 0.000 6.286" Properties=species:S:1:pos:R:3 pbc="T T T"
Rb 0.000 1.663 0.000
Rb 0.000 5.324 0.000
Pa 2.218 3.493 3.143
Te 2.218 0.000 3.143
O 0.170 0.000 2.574
O 0.663 3.493 2.012
O 1.882 1.398 4.412
O 1.882 5.588 4.412
O 2.553 1.398 1.874
O 2.553 5.588 1.874
O 3.772 3.493 4.274
O 4.265 0.000 3.712
```

=====

[10]
Compound: Rb2ThPaO6
Source: Alexandria via LeMat-Bulk
Functional: PBE-GGA
Structure: relaxed

N(E_F)	0.909	states/eV/atom
magnetization	0.000	μB per formula unit
raw formation energy	-2865	meV/atom
mass density	6.76	Mg/m³

extended XYZ file:
```
10
Lattice="0.000 4.476 4.476 4.476 0.000 4.476 4.476 4.476 0.000" Properties=species:S:1:pos:R:3 pbc="T T T"
Rb 2.238 2.238 2.238
Rb 6.713 6.713 6.713
Th 0.000 0.000 0.000
Pa 4.476 4.476 4.476
O 4.476 4.476 2.304
O 4.476 2.304 4.476
O 6.647 4.476 4.476
O 2.304 4.476 4.476
O 4.476 6.647 4.476
O 4.476 4.476 6.647
```

=====

[11]
Compound: Rb3ThPa2O9
Source: Alexandria via LeMat-Bulk
Functional: PBE-GGA
Structure: relaxed

N(E_F)	0.767	states/eV/atom
magnetization	0.000	μB per formula unit
raw formation energy	-2952	meV/atom
mass density	6.86	Mg/m³

extended XYZ file:
```
15
Lattice="6.299 0.000 0.000 -3.149 5.455 0.000 0.000 0.000 7.716" Properties=species:S:1:pos:R:3 pbc="T T T"
Rb 0.000 0.000 0.000
Rb 0.000 3.636 5.141
Rb 3.149 1.818 2.575
Th 0.000 0.000 3.858
Pa 0.000 3.636 1.268
Pa 3.149 1.818 6.448
O -1.575 2.727 0.000
O 0.000 1.878 2.511
O -1.523 4.516 2.511
O 1.626 0.939 5.205
O 3.149 0.000 0.000
O 1.575 2.727 0.000
O 1.523 4.516 2.511
O 4.673 0.939 5.205
O 3.149 3.577 5.205
```

=====

[12]
Compound: RbTh2PaO8
Source: Alexandria via LeMat-Bulk
Functional: PBE-GGA
Structure: relaxed

N(E_F)	0.000	states/eV/atom
magnetization	0.000	μB per formula unit
raw formation energy	-3155	meV/atom
mass density	8.07	Mg/m³

extended XYZ file:
```
12
Lattice="3.903 0.000 0.000 0.000 8.598 0.000 -0.100 0.000 5.572" Properties=species:S:1:pos:R:3 pbc="T T T"
Rb 0.000 0.000 0.000
Th 1.902 2.377 2.786
Th 1.902 6.221 2.786
Pa 0.000 4.299 0.000
O -0.015 2.514 1.405
O -0.015 6.083 1.405
O 1.612 0.000 3.476
O 1.868 4.299 4.244
O 1.935 4.299 1.329
O 2.191 0.000 2.097
O 3.819 2.514 4.167
O 3.819 6.083 4.167
```

=====

[13]
Compound: Rb2PaTi3O12
Source: Alexandria via LeMat-Bulk
Functional: PBE-GGA
Structure: relaxed

N(E_F)	0.588	states/eV/atom
magnetization	5.045	μB per formula unit
raw formation energy	-2260	meV/atom
mass density	4.16	Mg/m³

extended XYZ file:
```
18
Lattice="3.714 2.144 6.163 -3.714 2.144 6.163 0.000 -4.289 6.163" Properties=species:S:1:pos:R:3 pbc="T T T"
Rb 0.000 0.000 2.268
Rb 0.000 0.000 16.220
Pa 0.000 0.000 9.244
Ti -1.857 -1.072 6.163
Ti -1.857 1.072 12.326
Ti 0.000 2.144 6.163
O -1.568 -0.905 8.101
O 0.000 -1.582 5.907
O -1.370 0.791 5.907
O 0.000 -1.810 10.387
O -1.568 0.905 10.387
O -1.370 -0.791 12.581
O 1.370 0.791 5.907
O 1.568 -0.905 8.101
O 0.000 1.810 8.101
O 1.370 -0.791 12.581
O 0.000 1.582 12.581
O 1.568 0.905 10.387
```

=====

[14]
Compound: Rb2PaTiO6
Source: Alexandria via LeMat-Bulk
Functional: PBE-GGA
Structure: relaxed

N(E_F)	0.631	states/eV/atom
magnetization	1.048	μB per formula unit
raw formation energy	-2616	meV/atom
mass density	6.08	Mg/m³

extended XYZ file:
```
10
Lattice="0.000 4.208 4.208 4.208 0.000 4.208 4.208 4.208 0.000" Properties=species:S:1:pos:R:3 pbc="T T T"
Rb 2.104 2.104 2.104
Rb 6.312 6.312 6.312
Pa 0.000 0.000 0.000
Ti 4.208 4.208 4.208
O 4.208 4.208 2.198
O 4.208 2.198 4.208
O 6.218 4.208 4.208
O 2.198 4.208 4.208
O 4.208 6.218 4.208
O 4.208 4.208 6.218
```

=====

[15]
Compound: Rb2PaTlO6
Source: Alexandria via LeMat-Bulk
Functional: PBE-GGA
Structure: relaxed

N(E_F)	0.723	states/eV/atom
magnetization	0.000	μB per formula unit
raw formation energy	-1816	meV/atom
mass density	6.94	Mg/m³

extended XYZ file:
```
10
Lattice="0.000 4.380 4.380 4.380 0.000 4.380 4.380 4.380 0.000" Properties=species:S:1:pos:R:3 pbc="T T T"
Rb 2.190 2.190 2.190
Rb 6.570 6.570 6.570
Pa 0.000 0.000 0.000
Tl 4.380 4.380 4.380
O 4.380 4.380 2.111
O 4.380 2.111 4.380
O 6.649 4.380 4.380
O 2.111 4.380 4.380
O 4.380 6.649 4.380
O 4.380 4.380 6.649
```

=====

[16]
Compound: RbPa2TlO8
Source: Alexandria via LeMat-Bulk
Functional: PBE-GGA
Structure: relaxed

N(E_F)	0.594	states/eV/atom
magnetization	1.611	μB per formula unit
raw formation energy	-2191	meV/atom
mass density	6.81	Mg/m³

extended XYZ file:
```
12
Lattice="5.425 0.000 0.000 0.000 7.308 0.000 -0.417 0.000 5.413" Properties=species:S:1:pos:R:3 pbc="T T T"
Rb 0.000 0.000 0.000
Pa 2.504 1.796 2.707
Pa 2.504 5.512 2.707
Tl 0.000 3.654 0.000
O 1.120 2.158 1.221
O 1.120 5.150 1.221
O 1.469 3.654 3.672
O 1.582 0.000 3.566
O 3.426 0.000 1.847
O 3.540 3.654 1.741
O 3.888 2.158 4.192
O 3.888 5.150 4.192
```

=====

[17]
Compound: Rb3PaTl2O6
Source: Alexandria via LeMat-Bulk
Functional: PBE-GGA
Structure: relaxed

N(E_F)	0.221	states/eV/atom
magnetization	0.000	μB per formula unit
raw formation energy	-1786	meV/atom
mass density	6.16	Mg/m³

extended XYZ file:
```
12
Lattice="6.425 0.000 0.000 -3.213 5.564 0.000 0.000 0.000 7.481" Properties=species:S:1:pos:R:3 pbc="T T T"
Rb 0.000 0.000 0.000
Rb 0.000 3.709 4.869
Rb 3.213 1.855 2.612
Pa 0.000 0.000 3.741
Tl 0.000 3.709 1.380
Tl 3.213 1.855 6.102
O 0.000 1.744 2.468
O -1.702 4.692 2.468
O 1.510 0.872 5.013
O 1.702 4.692 2.468
O 4.915 0.872 5.013
O 3.213 3.821 5.013
```

=====

[18]
Compound: RbPaTl2O6
Source: Alexandria via LeMat-Bulk
Functional: PBE-GGA
Structure: relaxed

magnetization	0.000	μB per formula unit
raw formation energy	-1726	meV/atom
mass density	6.30	Mg/m³

extended XYZ file:
```
20
Lattice="5.732 -5.540 0.000 5.732 5.540 0.000 -2.000 0.000 6.816" Properties=species:S:1:pos:R:3 pbc="T T T"
Rb 4.232 4.523 5.112
Rb 5.232 -4.523 1.704
Pa 5.232 2.443 1.704
Pa 4.232 -2.443 5.112
Tl 1.834 0.890 5.761
Tl 2.834 -0.890 2.353
Tl 6.630 0.890 4.463
Tl 7.630 -0.890 1.055
O 3.743 4.028 1.886
O 3.280 2.336 6.427
O 6.721 4.028 1.522
O 3.641 0.780 1.266
O 5.184 2.336 3.797
O 2.641 -0.780 4.674
O 6.823 0.780 2.142
O 4.280 -2.336 3.019
O 5.823 -0.780 5.549
O 2.743 -4.028 5.294
O 6.184 -2.336 0.389
O 5.721 -4.028 4.930
```

=====

[19]
Compound: RbPa3Tl4O12
Source: Alexandria via LeMat-Bulk
Functional: PBE-GGA
Structure: relaxed

N(E_F)	0.789	states/eV/atom
magnetization	1.529	μB per formula unit
raw formation energy	-2023	meV/atom
mass density	7.88	Mg/m³

extended XYZ file:
```
20
Lattice="-4.550 4.550 4.550 4.550 -4.550 4.550 4.550 4.550 -4.550" Properties=species:S:1:pos:R:3 pbc="T T T"
Rb 0.000 0.000 0.000
Pa 4.550 0.000 0.000
Pa 0.000 4.550 0.000
Pa 0.000 0.000 4.550
Tl 2.275 2.275 -2.275
Tl 2.275 -2.275 2.275
Tl -2.275 2.275 2.275
Tl 2.275 2.275 2.275
O 2.596 0.000 0.000
O 6.503 0.000 0.000
O 4.550 2.275 0.000
O 4.550 0.000 2.275
O 0.000 2.596 0.000
O 0.000 0.000 2.596
O 2.275 4.550 0.000
O 2.275 0.000 4.550
O 0.000 6.503 0.000
O 0.000 0.000 6.503
O 0.000 4.550 2.275
O 0.000 2.275 4.550
```